# 1
The following is a PBE calculation of a relaxed CsCe2Br8 crystal, from Alexandria via LeMat-Bulk.

```
data_CsCe2Br8
_cell_length_a 9.155
_cell_length_b 13.810
_cell_length_c 5.863
_cell_angle_alpha 90.00
_cell_angle_beta 98.78
_cell_angle_gamma 90.00
_space_group_name_H-M_alt 'C 1 2/m 1'
_space_group_IT_number 12
loop_
_space_group_symop_operation_xyz
'x,y,z'
'-x,-y,-z'
'-x,y,-z'
'x,-y,z'
'x+1/2,y+1/2,z'
'-x+1/2,-y+1/2,-z'
'-x+1/2,y+1/2,-z'
'x+1/2,-y+1/2,z'
loop_
_atom_site_label
_atom_site_type_symbol
_atom_site_fract_x
_atom_site_fract_y
_atom_site_fract_z
Cs1 Cs 0.000 0.000 0.000
Ce1 Ce 0.000 0.322 0.500
Br1 Br 0.000 0.266 0.000
Br2 Br 0.090 0.500 0.772
Br3 Br 0.190 0.138 0.566
```

Results
Mass density in Mg/m³: 4.8
Formation energy (no corrections) in meV per atom: -1707.3
Energy above the lowest structure with this stoichiometry in meV per atom: 39

---

# 2
The following is a PBE calculation of a relaxed Ru2SeBr2 crystal, from Alexandria via LeMat-Bulk.

```
data_Ru2SeBr2
_cell_length_a 4.132
_cell_length_b 4.132
_cell_length_c 11.973
_cell_angle_alpha 90.00
_cell_angle_beta 90.00
_cell_angle_gamma 90.00
_space_group_name_H-M_alt 'I 4/m m m'
_space_group_IT_number 139
_space_group_name_Hall '-I 4 2'
loop_
_atom_site_label
_atom_site_type_symbol
_atom_site_fract_x
_atom_site_fract_y
_atom_site_fract_z
Ru1 Ru 0.000 0.500 0.250
Se1 Se 0.000 0.000 0.000
Br1 Br 0.000 0.000 0.364
```

Results
Mass density in Mg/m³: 7.2
Formation energy (no corrections) in meV per atom: 814.2

---

# 3
The following is a PBE calculation of a relaxed YCdIn crystal, from Alexandria via LeMat-Bulk.

```
data_YCdIn
_cell_length_a 6.626
_cell_length_b 4.831
_cell_length_c 9.388
_cell_angle_alpha 90.00
_cell_angle_beta 90.00
_cell_angle_gamma 90.00
_space_group_name_H-M_alt 'P n m a'
_space_group_IT_number 62
loop_
_space_group_symop_operation_xyz
'x,y,z'
'-x,-y,-z'
'-x+1/2,-y,z+1/2'
'x+1/2,y,-z+1/2'
'x+1/2,-y+1/2,-z+1/2'
'-x+1/2,y+1/2,z+1/2'
'-x,y+1/2,-z'
'x,-y+1/2,z'
loop_
_atom_site_label
_atom_site_type_symbol
_atom_site_fract_x
_atom_site_fract_y
_atom_site_fract_z
Y1 Y 0.164 0.250 0.088
Cd1 Cd 0.152 0.250 0.418
In1 In 0.061 0.250 0.741
```

Results
Mass density in Mg/m³: 7.0
Calculated formation energy in kJ/mol of atoms: -35.1

---

# 4
The following is a PBE calculation of a relaxed ZnOsSe4 crystal, from Alexandria via LeMat-Bulk.

```
data_ZnOsSe4
_cell_length_a 7.870
_cell_length_b 7.870
_cell_length_c 7.870
_cell_angle_alpha 90.00
_cell_angle_beta 90.00
_cell_angle_gamma 90.00
_space_group_name_H-M_alt 'F -4 3 m'
_space_group_IT_number 216
_space_group_name_Hall 'F -4 2 3'
loop_
_atom_site_label
_atom_site_type_symbol
_atom_site_fract_x
_atom_site_fract_y
_atom_site_fract_z
Zn1 Zn 0.000 0.000 0.000
Os1 Os 0.250 0.250 0.750
Se1 Se 0.124 0.124 0.376
```

Results
Mass density in Mg/m³: 7.8
Formation energy (no corrections) in meV per atom: 1298.1

---

# 5
The following is a PBE calculation of a relaxed NiIrRu2 crystal, from Alexandria via LeMat-Bulk.

```
data_NiIrRu2
_cell_length_a 2.694
_cell_length_b 3.755
_cell_length_c 5.310
_cell_angle_alpha 90.00
_cell_angle_beta 90.01
_cell_angle_gamma 90.00
_space_group_name_H-M_alt 'P 1 m 1'
_space_group_IT_number 6
loop_
_space_group_symop_operation_xyz
'x,y,z'
'x,-y,z'
loop_
_atom_site_label
_atom_site_type_symbol
_atom_site_fract_x
_atom_site_fract_y
_atom_site_fract_z
Ni1 Ni 0.000 0.000 0.000
Ir1 Ir 0.501 0.500 0.757
Ru1 Ru 0.001 0.000 0.495
Ru2 Ru 0.499 0.500 0.245
```

Results
Mass density in Mg/m³: 14.0
Calculated formation energy in kJ/mol of atoms: 4.9
Energy above the lowest structure with this stoichiometry in meV per atom: 13

---

# 6
The following is a PBE calculation of a relaxed La3Dy6Ho2Er crystal, from Alexandria via LeMat-Bulk.

```
data_La3Dy6Ho2Er
_cell_length_a 6.219
_cell_length_b 10.776
_cell_length_c 11.873
_cell_angle_alpha 90.00
_cell_angle_beta 100.07
_cell_angle_gamma 90.00
_space_group_name_H-M_alt 'C 1 2/m 1'
_space_group_IT_number 12
loop_
_space_group_symop_operation_xyz
'x,y,z'
'-x,-y,-z'
'-x,y,-z'
'x,-y,z'
'x+1/2,y+1/2,z'
'-x+1/2,-y+1/2,-z'
'-x+1/2,y+1/2,-z'
'x+1/2,-y+1/2,z'
loop_
_atom_site_label
_atom_site_type_symbol
_atom_site_fract_x
_atom_site_fract_y
_atom_site_fract_z
La1 La 0.000 0.000 0.000
La2 La 0.000 0.333 0.000
Dy1 Dy 0.247 0.333 0.743
Dy2 Dy 0.248 0.000 0.744
Ho1 Ho 0.000 0.167 0.500
Er1 Er 0.000 0.500 0.500
```

Results
Mass density in Mg/m³: 8.0
Calculated formation energy in kJ/mol of atoms: 2.3

---

# 7
The following is a PBE calculation of a relaxed AlVNi3 crystal, from Alexandria via LeMat-Bulk.

```
data_AlVNi3
_cell_length_a 4.269
_cell_length_b 4.269
_cell_length_c 4.269
_cell_angle_alpha 90.00
_cell_angle_beta 90.00
_cell_angle_gamma 90.00
_space_group_name_H-M_alt 'P m -3 m'
_space_group_IT_number 221
_space_group_name_Hall '-P 4 2 3'
loop_
_atom_site_label
_atom_site_type_symbol
_atom_site_fract_x
_atom_site_fract_y
_atom_site_fract_z
Al1 Al 0.000 0.000 0.000
V1 V 0.500 0.500 0.500
Ni1 Ni 0.000 0.500 0.500
```

Results
Mass density in Mg/m³: 5.4
Calculated formation energy in kJ/mol of atoms: 86.8
Energy above the lowest structure with this stoichiometry in meV per atom: 1041

---

# 8
The following is a PBE calculation of a relaxed CaY2Sb crystal, from Alexandria via LeMat-Bulk.

```
data_CaY2Sb
_cell_length_a 9.103
_cell_length_b 9.103
_cell_length_c 6.625
_cell_angle_alpha 90.00
_cell_angle_beta 90.00
_cell_angle_gamma 90.00
_space_group_name_H-M_alt 'I -4 2 d'
_space_group_IT_number 122
_space_group_name_Hall 'I -4 2bw'
loop_
_atom_site_label
_atom_site_type_symbol
_atom_site_fract_x
_atom_site_fract_y
_atom_site_fract_z
Ca1 Ca 0.000 0.000 0.000
Y1 Y 0.198 0.750 0.625
Sb1 Sb 0.000 0.000 0.500
```

Results
Mass density in Mg/m³: 4.1
Formation energy (no corrections) in meV per atom: -201.3
Energy above the lowest structure with this stoichiometry in meV per atom: 259

---

# 9
The following is a PBE calculation of a relaxed Ho3RhI3 crystal, from Alexandria via LeMat-Bulk.

```
data_Ho3RhI3
_cell_length_a 8.888
_cell_length_b 4.180
_cell_length_c 12.307
_cell_angle_alpha 90.00
_cell_angle_beta 93.62
_cell_angle_gamma 90.00
_space_group_name_H-M_alt 'P 1 21/m 1'
_space_group_IT_number 11
loop_
_space_group_symop_operation_xyz
'x,y,z'
'-x,-y,-z'
'-x,y+1/2,-z'
'x,-y+1/2,z'
loop_
_atom_site_label
_atom_site_type_symbol
_atom_site_fract_x
_atom_site_fract_y
_atom_site_fract_z
Ho1 Ho 0.098 0.250 0.317
Ho2 Ho 0.137 0.250 0.871
Ho3 Ho 0.256 0.750 0.102
Rh1 Rh 0.053 0.250 0.093
I1 I 0.144 0.250 0.606
I2 I 0.354 0.750 0.363
I3 I 0.425 0.750 0.867
```

Results
Mass density in Mg/m³: 7.1
Formation energy (no corrections) in meV per atom: -1100.4

---

# 10
The following is a PBE calculation of a relaxed LaAs2OsSe crystal, from Alexandria via LeMat-Bulk.

```
data_LaAs2OsSe
_cell_length_a 4.703
_cell_length_b 4.703
_cell_length_c 5.453
_cell_angle_alpha 90.00
_cell_angle_beta 90.00
_cell_angle_gamma 90.00
_space_group_name_H-M_alt 'P 4/m m m'
_space_group_IT_number 123
_space_group_name_Hall '-P 4 2'
loop_
_atom_site_label
_atom_site_type_symbol
_atom_site_fract_x
_atom_site_fract_y
_atom_site_fract_z
La1 La 0.000 0.000 0.000
As1 As 0.000 0.500 0.500
Os1 Os 0.500 0.500 0.500
Se1 Se 0.500 0.500 0.000
```

Results
Mass density in Mg/m³: 7.7
Formation energy (no corrections) in meV per atom: -273.5
Energy above the lowest structure with this stoichiometry in meV per atom: 0

---

# 11
The following is a PBE calculation of a relaxed NaSmIn4 crystal, from Alexandria via LeMat-Bulk.

```
data_NaSmIn4
_cell_length_a 3.586
_cell_length_b 5.009
_cell_length_c 8.869
_cell_angle_alpha 90.00
_cell_angle_beta 90.00
_cell_angle_gamma 90.00
_space_group_name_H-M_alt 'P m m m'
_space_group_IT_number 47
loop_
_space_group_symop_operation_xyz
'x,y,z'
'-x,-y,-z'
'-x,-y,z'
'x,y,-z'
'x,-y,-z'
'-x,y,z'
'-x,y,-z'
'x,-y,z'
loop_
_atom_site_label
_atom_site_type_symbol
_atom_site_fract_x
_atom_site_fract_y
_atom_site_fract_z
Na1 Na 0.000 0.000 0.000
Sm1 Sm 0.000 0.500 0.500
In1 In 0.500 0.000 0.335
In2 In 0.500 0.500 0.165
```

Results
Mass density in Mg/m³: 6.6
Calculated formation energy in kJ/mol of atoms: -25.2
Energy above the lowest structure with this stoichiometry in meV per atom: 0

---

# 12
The following is a PBE calculation of a relaxed La6P5Br crystal, from Alexandria via LeMat-Bulk.

```
data_La6P5Br
_cell_length_a 7.433
_cell_length_b 12.857
_cell_length_c 7.409
_cell_angle_alpha 90.00
_cell_angle_beta 109.53
_cell_angle_gamma 90.00
_space_group_name_H-M_alt 'C 1 2/m 1'
_space_group_IT_number 12
loop_
_space_group_symop_operation_xyz
'x,y,z'
'-x,-y,-z'
'-x,y,-z'
'x,-y,z'
'x+1/2,y+1/2,z'
'-x+1/2,-y+1/2,-z'
'-x+1/2,y+1/2,-z'
'x+1/2,-y+1/2,z'
loop_
_atom_site_label
_atom_site_type_symbol
_atom_site_fract_x
_atom_site_fract_y
_atom_site_fract_z
La1 La 0.237 0.000 0.260
La2 La 0.238 0.175 0.741
P1 P 0.000 0.000 0.500
P2 P 0.000 0.167 0.000
P3 P 0.000 0.337 0.500
Br1 Br 0.000 0.500 0.000
```

Results
Mass density in Mg/m³: 5.3
Formation energy (no corrections) in meV per atom: -1633.2

---

- What is the mass density in the fifth record?
  14.0 Mg/m³

---

- Among the records above, which one has the highest mass density?
  NiIrRu2